DFT (PBE-GGA) results for Sc2PaTe4 after structural relaxation.

Unit cell a=4.1579 b=7.3188 c=8.2467 alpha=115.37 beta=104.60 gamma=90.00
Last column: nearest neighbours and their distance in Å.
Sites, in units of the cell vectors:
Sc 0.7530 0.7690 0.5059  6 Te 2.92-3.04
Sc 0.2470 0.2310 0.4941  6 Te 2.92-3.04
Pa 0.0000 0.0000 0.0000  6 Te 3.07-3.12
Te 0.8714 0.2109 0.7427  3 Sc 2.92-2.94, 1 Pa 3.07
Te 0.1286 0.7891 0.2573  3 Sc 2.92-2.94, 1 Pa 3.07
Te 0.6324 0.3111 0.2648  3 Sc 2.99-3.04, 2 Pa 3.12
Te 0.3676 0.6889 0.7352  3 Sc 2.99-3.04, 2 Pa 3.12

## Properties
Total DFT energy (no corrections), eV/atom: -5.985
SG: C2/m (12)

***

DFT (PBE-GGA) results for ScCdB after structural relaxation.

Unit cell a=7.0150 b=4.8696 c=3.5302 alpha=67.70 beta=107.23 gamma=101.51
Last column: nearest neighbours and their distance in Å.
Sites, in units of the cell vectors:
Sc 0.8053 0.6046 0.2350  3 B 2.34-2.49
Sc 0.5218 0.1535 0.7925  4 B 2.38-2.65
B 0.7448 0.0497 0.4795  1 B 1.60
B 0.6023 0.7419 0.5463  1 B 1.60
Cd 0.2557 0.6693 0.4170  1 B 2.32
Cd 0.0428 0.1952 0.0732  2 B 2.68-2.71, 2 Cd 2.89-2.95, 1 Sc 2.96

## Properties
Energy relative to the elements, eV/atom: -0.136
SG: P1 (1)

***

DFT (PBE-GGA) results for HOsNO after structural relaxation.

Unit cell a=2.8426 b=3.2623 c=6.0249 alpha=100.92 beta=93.16 gamma=115.95
Last column: nearest neighbours and their distance in Å.
Sites, in units of the cell vectors:
H 0.5467 0.8738 0.4392  1 O 0.99
Os 0.1086 0.6921 0.0449  3 N 1.88-1.99, 1 O 1.93
N 0.7674 0.0402 0.9258  3 Os 1.88-1.99
O 0.2072 0.8546 0.3754  1 H 0.99

## Properties
Total DFT energy (no corrections), eV/atom: -7.091
SG: P1 (1)

***

DFT (PBE-GGA) results for Ac2Mg16Cu after structural relaxation.

Unit cell a=7.8401 b=7.8401 c=7.8401 alpha=82.71 beta=82.71 gamma=82.71
Last column: nearest neighbours and their distance in Å.
Sites, in units of the cell vectors:
Ac 0.6710 0.6710 0.6710  1 Cu 3.39, 12 Mg 3.67-3.80
Ac 0.3339 0.3339 0.3339  19 Mg 3.67-4.04
Mg 0.7066 0.0004 0.2953  9 Mg 2.96-3.30
Mg 0.0004 0.2953 0.7066  9 Mg 2.96-3.30
Mg 0.2953 0.7066 0.0004  9 Mg 2.96-3.30
Mg 0.0004 0.7066 0.2953  9 Mg 2.96-3.30
Mg 0.7066 0.2953 0.0004  9 Mg 2.96-3.30
Mg 0.2953 0.0004 0.7066  9 Mg 2.96-3.30
Mg 0.3497 0.8448 0.3497  8 Mg 3.00-3.17
Mg 0.8448 0.3497 0.3497  8 Mg 3.00-3.17
Mg 0.3497 0.3497 0.8448  8 Mg 3.00-3.17
Mg 0.6545 0.1554 0.6545  8 Mg 2.95-3.17, 1 Cu 3.19
Mg 0.1554 0.6545 0.6545  8 Mg 2.95-3.17, 1 Cu 3.19
Mg 0.6545 0.6545 0.1554  8 Mg 2.95-3.17, 1 Cu 3.19
Mg 0.9962 0.5122 0.9962  8 Mg 2.95-3.06, 1 Cu 3.03
Mg 0.5122 0.9962 0.9962  8 Mg 2.95-3.06, 1 Cu 3.03
Mg 0.9962 0.9962 0.5122  8 Mg 2.95-3.06, 1 Cu 3.03
Mg 0.0832 0.0832 0.0832  1 Cu 2.88
Cu 0.8940 0.8940 0.8940  7 Mg 2.88-3.19

## Properties
Energy relative to the elements, eV/atom: -0.058
SG: R3m (160)

***

DFT (PBE-GGA) results for Er6Cu2Os after structural relaxation.

Unit cell a=8.1922 b=8.1922 c=8.1922 alpha=110.16 beta=109.15 gamma=109.11
Last column: nearest neighbours and their distance in Å.
Sites, in units of the cell vectors:
Er 0.5703 0.7448 0.8255  1 Os 2.94, 3 Cu 2.96-3.08
Er 0.4297 0.2552 0.1745  1 Os 2.94, 3 Cu 2.96-3.08
Er 0.0806 0.2552 0.8255  1 Os 2.94, 3 Cu 2.96-3.08
Er 0.9194 0.7448 0.1745  1 Os 2.94, 3 Cu 2.96-3.08
Er 0.8146 0.7406 0.5551  2 Os 2.86-3.00, 2 Cu 2.91-3.18
Er 0.1854 0.2594 0.4449  2 Os 2.86-3.00, 2 Cu 2.91-3.18
Er 0.1854 0.7406 0.9260  2 Os 2.86-3.00, 2 Cu 2.91-3.18
Er 0.8146 0.2594 0.0740  2 Os 2.86-3.00, 2 Cu 2.91-3.18
Er 0.7130 0.3830 0.6700  3 Cu 2.80-2.93
Er 0.2870 0.6170 0.3300  3 Cu 2.80-2.93
Er 0.2870 0.9571 0.6700  3 Cu 2.80-2.93
Er 0.7130 0.0429 0.3300  3 Cu 2.80-2.93
Cu 0.5000 0.3760 0.8760  1 Cu 2.33
Cu 0.5000 0.6240 0.1240  1 Cu 2.33
Cu 0.6461 0.0000 0.6461  1 Cu 2.77, 8 Er 2.91-2.96
Cu 0.3539 0.0000 0.3539  1 Cu 2.77, 8 Er 2.91-2.96
Os 0.0000 0.5000 0.5000  8 Er 2.86-3.16
Os 0.0000 0.0000 0.0000  8 Er 2.94-3.00

## Properties
Energy relative to the elements, eV/atom: -0.209
SG: Immm (71)

***

DFT (PBE-GGA) results for LaNbReO2 after structural relaxation.

Unit cell a=4.0105 b=5.1880 c=4.0105 alpha=90.00 beta=90.00 gamma=90.00
Last column: nearest neighbours and their distance in Å.
Sites, in units of the cell vectors:
Re 0.0000 0.0000 0.0000  4 O 2.01
Nb 0.0000 0.5000 0.0000  2 Re 2.59, 4 La 2.84
O 0.0000 0.0000 0.5000  2 Re 2.01
O 0.5000 0.0000 0.0000  2 Re 2.01
La 0.5000 0.5000 0.5000  4 Nb 2.84

## Properties
Total DFT energy (no corrections), eV/atom: -7.871
SG: P4/mmm (123)

***

DFT (PBE-GGA) results for GdInPd after structural relaxation.

Unit cell a=3.4637 b=3.4637 c=6.1033 alpha=106.48 beta=106.48 gamma=90.00
Last column: nearest neighbours and their distance in Å.
Sites, in units of the cell vectors:
Gd 0.9887 0.9887 0.9774  4 Pd 3.08, 5 In 3.32-3.35
Pd 0.3218 0.3218 0.6436  4 In 2.86, 4 Gd 3.08
In 0.6895 0.6895 0.3790  4 Pd 2.86

## Properties
Energy relative to the elements, eV/atom: -0.612
SG: I4mm (107)

***

DFT (PBE-GGA) results for ZnSiP2 after structural relaxation.

Unit cell a=7.5717 b=5.6368 c=2.5005 alpha=63.19 beta=109.96 gamma=138.36
Last column: nearest neighbours and their distance in Å.
Sites, in units of the cell vectors:
P 0.0000 0.0000 0.0000  2 P 2.50, 2 Si 2.52, 2 Zn 2.52
P 0.5000 0.0000 0.5000  2 P 2.50, 2 Zn 2.52, 2 Si 2.52
Si 0.0000 0.5000 0.5000  2 Si 2.50, 4 P 2.52
Zn 0.5000 0.5000 0.0000  2 Zn 2.50, 4 P 2.52

## Properties
Total DFT energy (no corrections), eV/atom: -4.213
SG: C2/m (12)

***

DFT (PBE-GGA) results for Rb4IrSe4 after structural relaxation.

Unit cell a=7.7044 b=7.7044 c=9.1081 alpha=115.02 beta=115.02 gamma=90.00
Last column: nearest neighbours and their distance in Å.
Sites, in units of the cell vectors:
Rb 0.5000 0.0000 0.0000  4 Se 3.31
Rb 0.0000 0.5000 0.0000  4 Se 3.31
Rb 0.3024 0.3024 0.6049  2 Se 3.30
Rb 0.6976 0.6976 0.3951  2 Se 3.30
Ir 0.0000 0.0000 0.0000  4 Se 2.42
Se 0.7243 0.7243 0.7760  1 Ir 2.42
Se 0.2757 0.9483 0.2240  1 Ir 2.42
Se 0.0517 0.0517 0.7760  1 Ir 2.42
Se 0.9483 0.2757 0.2240  1 Ir 2.42

## Properties
Total DFT energy (no corrections), eV/atom: -3.599
SG: I-42m (121)

***

DFT (PBE-GGA) results for PuU6S8 after structural relaxation.

Unit cell a=7.1056 b=7.1056 c=7.1056 alpha=72.62 beta=72.62 gamma=72.62
Last column: nearest neighbours and their distance in Å.
Sites, in units of the cell vectors:
Pu 0.0000 0.0000 0.0000  6 S 2.73
U 0.5313 0.3555 0.9237  1 U 2.47, 4 S 2.72-2.76
U 0.3555 0.9237 0.5313  1 U 2.47, 4 S 2.72-2.76
U 0.9237 0.5313 0.3555  1 U 2.47, 4 S 2.72-2.76
U 0.4687 0.6445 0.0763  1 U 2.47, 4 S 2.72-2.76
U 0.6445 0.0763 0.4687  1 U 2.47, 4 S 2.72-2.76
U 0.0763 0.4687 0.6445  1 U 2.47, 4 S 2.72-2.76
S 0.6806 0.6806 0.6806  6 U 2.73-2.74
S 0.3194 0.3194 0.3194  6 U 2.73-2.74
S 0.6460 0.8778 0.1797  4 U 2.72-2.87, 1 Pu 2.73
S 0.8778 0.1797 0.6460  4 U 2.72-2.87, 1 Pu 2.73
S 0.1797 0.6460 0.8778  4 U 2.72-2.87, 1 Pu 2.73
S 0.3540 0.1222 0.8203  4 U 2.72-2.87, 1 Pu 2.73
S 0.1222 0.8203 0.3540  4 U 2.72-2.87, 1 Pu 2.73
S 0.8203 0.3540 0.1222  4 U 2.72-2.87, 1 Pu 2.73

## Properties
Total DFT energy (no corrections), eV/atom: -8.861
SG: R-3 (148)

***

DFT (PBE-GGA) results for P2PtRhCl after structural relaxation.

Unit cell a=4.6080 b=4.6080 c=4.8932 alpha=90.00 beta=90.00 gamma=90.00
Last column: nearest neighbours and their distance in Å.
Sites, in units of the cell vectors:
P 0.0000 0.5000 0.0000  2 Pt 2.30
P 0.5000 0.0000 0.0000  2 Pt 2.30
Rh 0.5000 0.5000 0.5000  4 Cl 3.26, 8 P 3.36
Pt 0.0000 0.0000 0.0000  4 P 2.30, 2 Cl 2.45
Cl 0.0000 0.0000 0.5000  2 Pt 2.45

## Properties
Total DFT energy (no corrections), eV/atom: -4.274
SG: P4/mmm (123)

***

DFT (PBE-GGA) results for Hg2WBr after structural relaxation.

Unit cell a=4.5620 b=3.2046 c=5.9444 alpha=74.44 beta=90.00 gamma=90.00
Last column: nearest neighbours and their distance in Å.
Sites, in units of the cell vectors:
Br 0.5000 0.5711 0.7336  2 W 2.66
Hg 0.0000 0.9456 0.9851  3 W 2.92-3.23, 4 Br 3.14, 2 Hg 3.20
Hg 0.5000 0.2934 0.2865  3 Br 3.02-3.17, 4 W 3.03, 6 Hg 3.20-3.28
W 0.0000 0.6899 0.4948  2 Br 2.66, 1 Hg 2.92

## Properties
Total DFT energy (no corrections), eV/atom: -3.076
SG: Pm (6)

***

- Which formula does entry 10 have?
  PuU6S8